## A
{"formula": "Li3SnAu4", "functional": "PBE", "state": "optimized geometry", "sg": "P4/mmm", "n_ef_per_ev_cell": 2.22, "cell": [[4.583, 0.000, 0.000], [0.000, 4.583, 0.000], [0.000, 0.000, 6.456]], "species": ["Li", "Li", "Li", "Sn", "Au", "Au", "Au", "Au"], "frac_coords": [[0.000, 0.000, 0.000], [0.000, 0.000, 0.500], [0.500, 0.500, 0.000], [0.500, 0.500, 0.500], [0.000, 0.500, 0.228], [0.000, 0.500, 0.772], [0.500, 0.000, 0.228], [0.500, 0.000, 0.772]]}

## B
{"formula": "Li3SnAu4", "functional": "PBE", "state": "optimized geometry", "sg": "Imm2", "n_ef_per_ev_cell": 3.86, "cell": [[5.713, 0.000, 0.000], [0.000, 10.584, 0.000], [0.000, 0.000, 5.005]], "species": ["Li", "Li", "Li", "Li", "Li", "Li", "Sn", "Sn", "Au", "Au", "Au", "Au", "Au", "Au", "Au", "Au"], "frac_coords": [[0.000, 0.000, 0.000], [0.000, 0.288, 0.983], [0.000, 0.712, 0.983], [0.500, 0.212, 0.483], [0.500, 0.500, 0.500], [0.500, 0.788, 0.483], [0.000, 0.500, 0.495], [0.500, 0.000, 0.995], [0.000, 0.235, 0.484], [0.000, 0.765, 0.484], [0.242, 0.000, 0.497], [0.258, 0.500, 0.997], [0.500, 0.265, 0.984], [0.500, 0.735, 0.984], [0.742, 0.500, 0.997], [0.758, 0.000, 0.497]]}

Energies relative to the most stable structure are A 0; B 123, reported in meV/atom.

## A
{"formula": "Li2SnAu6", "functional": "PBE", "state": "optimized geometry", "sg": "C2/m", "n_ef_per_ev_cell": 2.62, "cell": [[4.496, -2.128, 0.000], [4.496, 2.128, 0.000], [-2.232, 0.000, 8.339]], "species": ["Li", "Li", "Sn", "Au", "Au", "Au", "Au", "Au", "Au"], "frac_coords": [[0.184, 0.184, 0.241], [0.816, 0.816, 0.759], [0.500, 0.500, 0.000], [0.163, 0.163, 0.890], [0.165, 0.165, 0.555], [0.492, 0.492, 0.669], [0.508, 0.508, 0.331], [0.835, 0.835, 0.445], [0.837, 0.837, 0.110]]}

## B
{"formula": "Li2SnAu6", "functional": "PBE", "state": "optimized geometry", "sg": "C2/m", "n_ef_per_ev_cell": 2.12, "cell": [[2.492, -7.335, 0.000], [2.492, 7.335, 0.000], [-2.341, 0.000, 4.420]], "species": ["Li", "Li", "Sn", "Au", "Au", "Au", "Au", "Au", "Au"], "frac_coords": [[0.164, 0.836, 0.000], [0.836, 0.164, 0.000], [0.000, 0.000, 0.500], [0.166, 0.511, 0.678], [0.328, 0.328, 0.163], [0.489, 0.834, 0.322], [0.511, 0.166, 0.678], [0.672, 0.672, 0.837], [0.834, 0.489, 0.322]]}

Energies relative to the most stable structure are A 0; B 32, reported in meV/atom.

## A
{"formula": "Li2SnAu2", "functional": "PBE", "state": "optimized geometry", "sg": "P4/mbm", "n_ef_per_ev_cell": 1.93, "cell": [[7.481, 0.000, 0.000], [0.000, 7.481, 0.000], [0.000, 0.000, 3.205]], "species": ["Li", "Li", "Li", "Li", "Sn", "Sn", "Au", "Au", "Au", "Au"], "frac_coords": [[0.158, 0.342, 0.000], [0.342, 0.842, 0.000], [0.658, 0.158, 0.000], [0.842, 0.658, 0.000], [0.000, 0.000, 0.500], [0.500, 0.500, 0.500], [0.137, 0.637, 0.500], [0.363, 0.137, 0.500], [0.637, 0.863, 0.500], [0.863, 0.363, 0.500]]}

## B
{"formula": "Li2SnAu2", "functional": "PBE", "state": "optimized geometry", "sg": "C2/m", "n_ef_per_ev_cell": 2.91, "cell": [[5.811, -2.298, 0.000], [5.811, 2.298, 0.000], [-3.391, 0.000, 7.086]], "species": ["Li", "Li", "Li", "Li", "Sn", "Sn", "Au", "Au", "Au", "Au"], "frac_coords": [[0.032, 0.032, 0.347], [0.186, 0.186, 0.039], [0.814, 0.814, 0.961], [0.968, 0.968, 0.653], [0.286, 0.286, 0.709], [0.714, 0.714, 0.291], [0.365, 0.365, 0.410], [0.439, 0.439, 0.117], [0.561, 0.561, 0.883], [0.635, 0.635, 0.590]]}

Energies relative to the most stable structure are A 0; B 58, reported in meV/atom.

## A
{"formula": "Li2SnAu2", "functional": "PBE", "state": "optimized geometry", "sg": "I4/mmm", "n_ef_per_ev_cell": 3.93, "cell": [[3.931, 0.000, 0.000], [0.000, 3.931, 0.000], [0.000, 0.000, 12.632]], "species": ["Li", "Li", "Li", "Li", "Sn", "Sn", "Au", "Au", "Au", "Au"], "frac_coords": [[0.000, 0.500, 0.250], [0.000, 0.500, 0.750], [0.500, 0.000, 0.250], [0.500, 0.000, 0.750], [0.000, 0.000, 0.000], [0.500, 0.500, 0.500], [0.000, 0.000, 0.389], [0.000, 0.000, 0.611], [0.500, 0.500, 0.111], [0.500, 0.500, 0.889]]}

## B
{"formula": "Li2SnAu2", "functional": "PBE", "state": "optimized geometry", "sg": "P4/mbm", "n_ef_per_ev_cell": 2.27, "cell": [[7.593, 0.000, 0.000], [0.000, 7.593, 0.000], [0.000, 0.000, 3.045]], "species": ["Li", "Li", "Li", "Li", "Sn", "Sn", "Au", "Au", "Au", "Au"], "frac_coords": [[0.135, 0.365, 0.000], [0.365, 0.865, 0.000], [0.635, 0.135, 0.000], [0.865, 0.635, 0.000], [0.000, 0.000, 0.000], [0.500, 0.500, 0.000], [0.156, 0.656, 0.500], [0.344, 0.156, 0.500], [0.656, 0.844, 0.500], [0.844, 0.344, 0.500]]}

## C
{"formula": "Li2SnAu2", "functional": "PBE", "state": "optimized geometry", "sg": "P-3m1", "n_ef_per_ev_cell": 2.36, "cell": [[4.646, 0.000, 0.000], [-2.323, 4.024, 0.000], [0.000, 0.000, 5.484]], "species": ["Li", "Li", "Sn", "Au", "Au"], "frac_coords": [[0.333, 0.667, 0.157], [0.667, 0.333, 0.843], [0.000, 0.000, 0.500], [0.333, 0.667, 0.678], [0.667, 0.333, 0.322]]}

Energies relative to the most stable structure are A 103; B 0; C 30, reported in meV/atom.